No. 1
# InFe2Pt, optimized geometry, DFT PBE-GGA
# Formation energy from the elements   2 kJ per mole of atoms
# Spin magnetization   5.61 μB/cell
data_InFe2Pt
_chemical_formula_sum 'In1 Fe2 Pt1'
_symmetry_space_group_name_H-M 'P 1'
_symmetry_Int_Tables_number 1
_symmetry_space_group_name_Hall 'P 1'
_cell_length_a 2.785
_cell_length_b 3.967
_cell_length_c 5.525
_cell_angle_alpha 90.00
_cell_angle_beta 90.51
_cell_angle_gamma 90.00
loop_
_atom_site_label
_atom_site_fract_x
_atom_site_fract_y
_atom_site_fract_z
In1 0.000 0.000 0.000
Fe1 0.499 0.500 0.730
Fe2 0.501 0.500 0.270
Pt1 0.000 0.000 0.500

No. 2
# InFe2Pt, optimized geometry, DFT PBE-GGA
# Formation energy from the elements   4 kJ per mole of atoms
# Spin magnetization   10.45 μB/cell
data_InFe2Pt
_chemical_formula_sum 'In2 Fe4 Pt2'
_symmetry_space_group_name_H-M 'P 1'
_symmetry_Int_Tables_number 1
_symmetry_space_group_name_Hall 'P 1'
_cell_length_a 9.336
_cell_length_b 2.905
_cell_length_c 4.651
_cell_angle_alpha 90.00
_cell_angle_beta 103.14
_cell_angle_gamma 90.00
loop_
_atom_site_label
_atom_site_fract_x
_atom_site_fract_y
_atom_site_fract_z
In1 0.000 0.000 0.000
In2 0.500 0.500 0.000
Fe1 0.245 0.000 0.722
Fe2 0.255 0.500 0.278
Fe3 0.745 0.500 0.722
Fe4 0.755 0.000 0.278
Pt1 0.000 0.500 0.500
Pt2 0.500 0.000 0.500

No. 3
# InFePt6, optimized geometry, DFT PBE-GGA
# Formation energy from the elements   -29 kJ per mole of atoms
# Spin magnetization   4.96 μB/cell
data_InFePt6
_chemical_formula_sum 'In1 Fe1 Pt6'
_symmetry_space_group_name_H-M 'P 1'
_symmetry_Int_Tables_number 1
_symmetry_space_group_name_Hall 'P 1'
_cell_length_a 3.985
_cell_length_b 3.985
_cell_length_c 7.966
_cell_angle_alpha 90.00
_cell_angle_beta 90.00
_cell_angle_gamma 90.00
loop_
_atom_site_label
_atom_site_fract_x
_atom_site_fract_y
_atom_site_fract_z
In1 0.000 0.000 0.000
Fe1 0.000 0.000 0.500
Pt1 0.000 0.500 0.263
Pt2 0.000 0.500 0.737
Pt3 0.500 0.000 0.263
Pt4 0.500 0.000 0.737
Pt5 0.500 0.500 0.000
Pt6 0.500 0.500 0.500

No. 4
# InFe4Pt, optimized geometry, DFT PBE-GGA
# Formation energy from the elements   2 kJ per mole of atoms
# Spin magnetization   10.44 μB/cell
data_InFe4Pt
_chemical_formula_sum 'In1 Fe4 Pt1'
_symmetry_space_group_name_H-M 'P 1'
_symmetry_Int_Tables_number 1
_symmetry_space_group_name_Hall 'P 1'
_cell_length_a 4.904
_cell_length_b 4.904
_cell_length_c 4.904
_cell_angle_alpha 60.00
_cell_angle_beta 60.00
_cell_angle_gamma 60.00
loop_
_atom_site_label
_atom_site_fract_x
_atom_site_fract_y
_atom_site_fract_z
In1 0.000 0.000 0.000
Fe1 0.375 0.375 0.375
Fe2 0.375 0.375 0.876
Fe3 0.375 0.876 0.375
Fe4 0.876 0.375 0.375
Pt1 0.750 0.750 0.750